1.
Computed, not measured: an optimized crystal structure of CsRbHg2Pt at the PBE level of DFT. Values from VASP.

Structure (Quantum ESPRESSO input):
```
&SYSTEM
  ibrav = 0, nat = 5, ntyp = 4
/
ATOMIC_SPECIES
Cs 132.91 Cs.upf
Rb 85.47 Rb.upf
Hg 200.59 Hg.upf
Pt 195.08 Pt.upf
CELL_PARAMETERS angstrom
5.523 0.000 0.000
0.000 5.523 0.000
0.000 0.000 6.249
ATOMIC_POSITIONS crystal
Cs 0.000 0.000 0.000
Rb 0.500 0.500 0.000
Hg 0.000 0.500 0.500
Hg 0.500 0.000 0.500
Pt 0.000 0.000 0.500
```

## Properties
Its symmetry is P4/mmm (123). Its energy above the most stable polymorph in this dataset is 37 meV per atom. The volume comes out at 38.122 Å³ per atom. Its energy relative to the elements is -0.13 eV per atom.

2.
Computed, not measured: an optimized crystal structure of LuPaBeGa at the PBE level of DFT. Values from VASP.

Structure (Quantum ESPRESSO input):
```
&SYSTEM
  ibrav = 0, nat = 16, ntyp = 4
/
ATOMIC_SPECIES
Lu 174.97 Lu.upf
Pa 231.04 Pa.upf
Be 9.01 Be.upf
Ga 69.72 Ga.upf
CELL_PARAMETERS angstrom
6.877 0.000 0.000
0.000 6.877 0.000
0.000 0.000 6.877
ATOMIC_POSITIONS crystal
Lu 0.000 0.000 0.000
Lu 0.000 0.500 0.500
Lu 0.500 0.000 0.500
Lu 0.500 0.500 0.000
Pa 0.000 0.000 0.500
Pa 0.000 0.500 0.000
Pa 0.500 0.000 0.000
Pa 0.500 0.500 0.500
Be 0.250 0.250 0.250
Be 0.250 0.750 0.750
Be 0.750 0.250 0.750
Be 0.750 0.750 0.250
Ga 0.250 0.250 0.750
Ga 0.250 0.750 0.250
Ga 0.750 0.250 0.250
Ga 0.750 0.750 0.750
```

## Properties
Its symmetry is F-43m (216). The volume comes out at 20.329 Å³ per atom. Its energy relative to the elements is -0.03 eV per atom.

3.
Computed, not measured: an optimized crystal structure of Ce2PuTc3 at the PBE level of DFT. Values from VASP.

Structure (Quantum ESPRESSO input):
```
&SYSTEM
  ibrav = 0, nat = 12, ntyp = 3
/
ATOMIC_SPECIES
Ce 140.12 Ce.upf
Pu 244.00 Pu.upf
Tc 98.00 Tc.upf
CELL_PARAMETERS angstrom
8.694 -2.653 0.000
8.694 2.653 0.000
-1.527 0.000 5.218
ATOMIC_POSITIONS crystal
Ce 0.059 0.299 0.131
Ce 0.299 0.059 0.631
Ce 0.701 0.941 0.369
Ce 0.941 0.701 0.869
Pu 0.193 0.807 0.750
Pu 0.807 0.193 0.250
Tc 0.286 0.714 0.250
Tc 0.296 0.422 0.427
Tc 0.422 0.296 0.927
Tc 0.578 0.704 0.073
Tc 0.704 0.578 0.573
Tc 0.714 0.286 0.750
```

## Properties
Its symmetry is C2/c (15). Its energy above the most stable polymorph in this dataset is 108 meV per atom. The volume comes out at 20.056 Å³ per atom. Its energy relative to the elements is 0.02 eV per atom.

4.
Computed, not measured: an optimized crystal structure of RbDyCu2I6 at the PBE level of DFT. Values from VASP.

Structure (Quantum ESPRESSO input):
```
&SYSTEM
  ibrav = 0, nat = 20, ntyp = 4
/
ATOMIC_SPECIES
Rb 85.47 Rb.upf
Dy 162.50 Dy.upf
Cu 63.55 Cu.upf
I 126.90 I.upf
CELL_PARAMETERS angstrom
7.023 -7.254 0.000
7.023 7.254 0.000
-0.840 0.000 7.798
ATOMIC_POSITIONS crystal
Rb 0.084 0.916 0.750
Rb 0.916 0.084 0.250
Dy 0.283 0.717 0.250
Dy 0.717 0.283 0.750
Cu 0.246 0.404 0.708
Cu 0.404 0.246 0.208
Cu 0.596 0.754 0.792
Cu 0.754 0.596 0.292
I 0.008 0.257 0.661
I 0.170 0.601 0.905
I 0.257 0.008 0.161
I 0.286 0.435 0.383
I 0.399 0.830 0.595
I 0.435 0.286 0.883
I 0.565 0.714 0.117
I 0.601 0.170 0.405
I 0.714 0.565 0.617
I 0.743 0.992 0.839
I 0.830 0.399 0.095
I 0.992 0.743 0.339
```

## Properties
Its symmetry is C2/c (15). The raw total energy comes out at -63.23 eV for the cell shown. The volume comes out at 39.729 Å³ per atom.

5.
Computed, not measured: an optimized crystal structure of Rb2FeSbTe at the PBE level of DFT. Values from VASP.

Structure (Quantum ESPRESSO input):
```
&SYSTEM
  ibrav = 0, nat = 5, ntyp = 4
/
ATOMIC_SPECIES
Rb 85.47 Rb.upf
Fe 55.84 Fe.upf
Sb 121.76 Sb.upf
Te 127.60 Te.upf
CELL_PARAMETERS angstrom
6.846 0.000 0.000
0.000 6.846 0.000
0.000 0.000 4.833
ATOMIC_POSITIONS crystal
Rb 0.000 0.500 0.000
Rb 0.500 0.000 0.000
Fe 0.000 0.000 0.000
Sb 0.500 0.500 0.500
Te 0.000 0.000 0.500
```

## Properties
Its symmetry is P4/mmm (123). The raw total energy comes out at -16.32 eV for the cell shown. The volume comes out at 45.293 Å³ per atom.

6.
Computed, not measured: an optimized crystal structure of Ac4In2Ir at the PBE level of DFT. Values from VASP.

Structure (Quantum ESPRESSO input):
```
&SYSTEM
  ibrav = 0, nat = 14, ntyp = 3
/
ATOMIC_SPECIES
Ac 227.00 Ac.upf
In 114.82 In.upf
Ir 192.22 Ir.upf
CELL_PARAMETERS angstrom
18.504 0.000 0.000
0.000 4.267 0.000
-2.546 0.000 6.556
ATOMIC_POSITIONS crystal
Ac 0.088 0.000 0.431
Ac 0.115 0.500 0.974
Ac 0.385 0.000 0.026
Ac 0.412 0.500 0.569
Ac 0.588 0.500 0.431
Ac 0.615 0.000 0.974
Ac 0.885 0.500 0.026
Ac 0.912 0.000 0.569
In 0.241 0.500 0.663
In 0.259 0.000 0.337
In 0.741 0.000 0.663
In 0.759 0.500 0.337
Ir 0.000 0.000 0.000
Ir 0.500 0.500 0.000
```

## Properties
Its symmetry is C2/m (12). Its energy above the most stable polymorph in this dataset is 70 meV per atom. The volume comes out at 36.977 Å³ per atom. Its energy relative to the elements is -0.39 eV per atom.

7.
Computed, not measured: an optimized crystal structure of TbGa3AgAu at the PBE level of DFT. Values from VASP.

Structure (Quantum ESPRESSO input):
```
&SYSTEM
  ibrav = 0, nat = 12, ntyp = 4
/
ATOMIC_SPECIES
Tb 158.93 Tb.upf
Ga 69.72 Ga.upf
Ag 107.87 Ag.upf
Au 196.97 Au.upf
CELL_PARAMETERS angstrom
2.830 -8.722 0.000
2.830 8.722 0.000
0.000 0.000 5.598
ATOMIC_POSITIONS crystal
Tb 0.175 0.825 0.750
Tb 0.825 0.175 0.250
Ga 0.240 0.240 0.000
Ga 0.240 0.240 0.500
Ga 0.253 0.747 0.250
Ga 0.747 0.253 0.750
Ga 0.760 0.760 0.000
Ga 0.760 0.760 0.500
Ag 0.400 0.600 0.250
Ag 0.600 0.400 0.750
Au 0.108 0.892 0.250
Au 0.892 0.108 0.750
```

## Properties
Its symmetry is Cmcm (63). The volume comes out at 23.034 Å³ per atom. Its energy relative to the elements is -0.16 eV per atom.

8.
Computed, not measured: an optimized crystal structure of Ac2NiCl at the PBE level of DFT. Values from VASP.

Structure (Quantum ESPRESSO input):
```
&SYSTEM
  ibrav = 0, nat = 4, ntyp = 3
/
ATOMIC_SPECIES
Ac 227.00 Ac.upf
Ni 58.69 Ni.upf
Cl 35.45 Cl.upf
CELL_PARAMETERS angstrom
3.639 0.000 0.000
0.000 3.639 0.000
0.000 0.000 8.421
ATOMIC_POSITIONS crystal
Ac 0.000 0.000 0.214
Ac 0.000 0.000 0.786
Ni 0.500 0.500 0.000
Cl 0.500 0.500 0.500
```

## Properties
Its symmetry is P4/mmm (123). Its energy above the most stable polymorph in this dataset is 221 meV per atom. The volume comes out at 27.878 Å³ per atom.

9.
Computed, not measured: an optimized crystal structure of Li2PaTc3N6 at the PBE level of DFT. Values from VASP.

Structure (Quantum ESPRESSO input):
```
&SYSTEM
  ibrav = 0, nat = 12, ntyp = 4
/
ATOMIC_SPECIES
Li 6.94 Li.upf
Pa 231.04 Pa.upf
Tc 98.00 Tc.upf
N 14.01 N.upf
CELL_PARAMETERS angstrom
2.623 -4.563 0.000
2.623 4.563 0.000
-1.573 0.000 5.300
ATOMIC_POSITIONS crystal
Li 0.166 0.834 0.000
Li 0.834 0.166 0.000
Pa 0.500 0.500 0.000
Tc 0.000 0.000 0.500
Tc 0.311 0.689 0.500
Tc 0.689 0.311 0.500
N 0.073 0.407 0.742
N 0.271 0.271 0.286
N 0.407 0.073 0.742
N 0.593 0.927 0.258
N 0.729 0.729 0.714
N 0.927 0.593 0.258
```

## Properties
Its symmetry is C2/m (12). The raw total energy comes out at -101.01 eV for the cell shown. The volume comes out at 10.572 Å³ per atom.

10.
Computed, not measured: an optimized crystal structure of BaBiS2 at the PBE level of DFT. Values from VASP.

Structure (Quantum ESPRESSO input):
```
&SYSTEM
  ibrav = 0, nat = 16, ntyp = 3
/
ATOMIC_SPECIES
Ba 137.33 Ba.upf
Bi 208.98 Bi.upf
S 32.06 S.upf
CELL_PARAMETERS angstrom
7.363 0.000 0.000
0.000 4.025 0.000
0.000 0.000 16.000
ATOMIC_POSITIONS crystal
Ba 0.039 0.250 0.150
Ba 0.461 0.750 0.650
Ba 0.539 0.250 0.350
Ba 0.961 0.750 0.850
Bi 0.046 0.250 0.385
Bi 0.454 0.750 0.885
Bi 0.546 0.250 0.115
Bi 0.954 0.750 0.615
S 0.147 0.250 0.711
S 0.239 0.750 0.467
S 0.261 0.250 0.967
S 0.353 0.750 0.211
S 0.647 0.250 0.789
S 0.739 0.750 0.033
S 0.761 0.250 0.533
S 0.853 0.750 0.289
```

## Properties
Its symmetry is Pnma (62). Its energy above the most stable polymorph in this dataset is 0 meV per atom. The volume comes out at 29.633 Å³ per atom.

11.
Computed, not measured: an optimized crystal structure of AlCr2Cu at the PBE level of DFT. Values from VASP.

Structure (Quantum ESPRESSO input):
```
&SYSTEM
  ibrav = 0, nat = 16, ntyp = 3
/
ATOMIC_SPECIES
Al 26.98 Al.upf
Cr 52.00 Cr.upf
Cu 63.55 Cu.upf
CELL_PARAMETERS angstrom
5.932 0.000 0.000
0.000 5.932 0.000
0.000 0.000 5.932
ATOMIC_POSITIONS crystal
Al 0.000 0.000 0.000
Al 0.000 0.500 0.500
Al 0.500 0.000 0.500
Al 0.500 0.500 0.000
Cr 0.000 0.000 0.500
Cr 0.000 0.500 0.000
Cr 0.250 0.250 0.750
Cr 0.250 0.750 0.250
Cr 0.500 0.000 0.000
Cr 0.500 0.500 0.500
Cr 0.750 0.250 0.250
Cr 0.750 0.750 0.750
Cu 0.250 0.250 0.250
Cu 0.250 0.750 0.750
Cu 0.750 0.250 0.750
Cu 0.750 0.750 0.250
```

## Properties
Its symmetry is F-43m (216). The volume comes out at 13.049 Å³ per atom. Its energy relative to the elements is 0.07 eV per atom.

12.
Computed, not measured: an optimized crystal structure of Zr6C5F at the PBE level of DFT. Values from VASP.

Structure (Quantum ESPRESSO input):
```
&SYSTEM
  ibrav = 0, nat = 12, ntyp = 3
/
ATOMIC_SPECIES
Zr 91.22 Zr.upf
C 12.01 C.upf
F 19.00 F.upf
CELL_PARAMETERS angstrom
2.920 -5.044 0.000
2.920 5.044 0.000
-1.969 0.000 5.480
ATOMIC_POSITIONS crystal
Zr 0.057 0.414 0.742
Zr 0.233 0.233 0.267
Zr 0.414 0.057 0.742
Zr 0.586 0.943 0.258
Zr 0.767 0.767 0.733
Zr 0.943 0.586 0.258
C 0.000 0.000 0.500
C 0.167 0.833 0.000
C 0.334 0.666 0.500
C 0.666 0.334 0.500
C 0.833 0.167 0.000
F 0.500 0.500 0.000
```

## Properties
Its symmetry is C2/m (12). The raw total energy comes out at -112.34 eV for the cell shown. The volume comes out at 13.453 Å³ per atom.

What did the first record say?
Computed, not measured: an optimized crystal structure of CsRbHg2Pt at the PBE level of DFT. Values from VASP.

Structure (Quantum ESPRESSO input):
```
&SYSTEM
  ibrav = 0, nat = 5, ntyp = 4
/
ATOMIC_SPECIES
Cs 132.91 Cs.upf
Rb 85.47 Rb.upf
Hg 200.59 Hg.upf
Pt 195.08 Pt.upf
CELL_PARAMETERS angstrom
5.523 0.000 0.000
0.000 5.523 0.000
0.000 0.000 6.249
ATOMIC_POSITIONS crystal
Cs 0.000 0.000 0.000
Rb 0.500 0.500 0.000
Hg 0.000 0.500 0.500
Hg 0.500 0.000 0.500
Pt 0.000 0.000 0.500
```

## Properties
Its symmetry is P4/mmm (123). Its energy above the most stable polymorph in this dataset is 37 meV per atom. The volume comes out at 38.122 Å³ per atom. Its energy relative to the elements is -0.13 eV per atom.

- volume of number 11 (AlCr2Cu)?
  13.049 Å³ per atom

- Among the records above, which one has the highest volume?
  Rb2FeSbTe

- Which value of volume does entry 2 give?
  20.329 Å³ per atom